RbTe2SeN: relaxed, GGA-PBE.

Cell lengths 6.5731, 6.5731, 5.1528 Å; angles 90.00, 90.00, 90.00 degrees
Closest atoms and distances in Å follow each position.
Space group P4/mmm (No. 123)
One atom of each set of equivalent atoms:
Rb  0.0000  0.0000  0.0000  2 N 2.58
Te  0.0000  0.5000  0.0000  2 Rb 3.29
Se  0.5000  0.5000  0.5000  8 Te 4.18, 4 N 4.65
N  0.0000  0.0000  0.5000  2 Rb 2.58

**Formation energy from raw total energies**: 40.8 kcal/mol of atoms
**DOS at the Fermi energy**: 9.08 states/eV/cell
**Distance to the lowest polymorph of the same formula**: 6.55 eV per formula unit